[1]
NaHf3Cu | PBEsol | relaxed Values from VASP.

Calculated values
As for the energy of formation: 822 meV per atom. The calculation puts the total energy at -6.63 eV/atom.

The structure in Quantum ESPRESSO input format:
```
&SYSTEM
  ibrav = 0, nat = 5, ntyp = 3
/
ATOMIC_SPECIES
Na 22.99 Na.upf
Hf 178.49 Hf.upf
Cu 63.55 Cu.upf
CELL_PARAMETERS angstrom
4.904 0.000 0.000
0.000 4.904 0.000
0.000 0.000 4.904
ATOMIC_POSITIONS crystal
Na 0.500 0.500 0.500
Hf 0.000 0.000 0.500
Hf 0.500 0.000 0.000
Hf 0.000 0.500 0.000
Cu 0.000 0.000 0.000
```

[2]
NaHfCuSe3 | PBEsol | relaxed Values from VASP.

Calculated values
The formation energy (no corrections) is -1.054 eV/atom. The calculation puts the total energy at -5.69 eV/atom.

The structure in Quantum ESPRESSO input format:
```
&SYSTEM
  ibrav = 0, nat = 24, ntyp = 4
/
ATOMIC_SPECIES
Cu 63.55 Cu.upf
Se 78.96 Se.upf
Na 22.99 Na.upf
Hf 178.49 Hf.upf
CELL_PARAMETERS angstrom
3.780 0.000 0.000
0.000 10.131 0.000
0.000 0.000 13.452
ATOMIC_POSITIONS crystal
Cu 0.750 0.091 0.008
Cu 0.250 0.909 0.992
Cu 0.750 0.409 0.508
Cu 0.250 0.591 0.492
Se 0.250 0.755 0.361
Se 0.250 0.564 0.103
Se 0.750 0.064 0.397
Se 0.750 0.245 0.639
Se 0.750 0.881 0.106
Se 0.250 0.936 0.603
Se 0.750 0.255 0.139
Se 0.250 0.119 0.894
Se 0.750 0.619 0.606
Se 0.250 0.381 0.394
Se 0.750 0.436 0.897
Se 0.250 0.745 0.861
Na 0.750 0.548 0.273
Na 0.750 0.952 0.773
Na 0.250 0.452 0.727
Na 0.250 0.048 0.227
Hf 0.250 0.322 0.010
Hf 0.750 0.822 0.490
Hf 0.750 0.678 0.990
Hf 0.250 0.178 0.510
```

[3]
NaHf2CuSe | PBEsol | relaxed Values from VASP.

Calculated values
The formation energy (no corrections) is 1.599 eV/atom. The calculation puts the total energy at -4.52 eV/atom.

The structure in Quantum ESPRESSO input format:
```
&SYSTEM
  ibrav = 0, nat = 5, ntyp = 4
/
ATOMIC_SPECIES
Se 78.96 Se.upf
Na 22.99 Na.upf
Hf 178.49 Hf.upf
Cu 63.55 Cu.upf
CELL_PARAMETERS angstrom
-2.661 2.107 -3.128
3.103 -1.354 -3.553
-2.540 -4.152 -0.636
ATOMIC_POSITIONS crystal
Se 0.500 0.000 0.000
Na 0.000 0.000 0.000
Hf 0.000 0.000 0.500
Hf 0.000 0.500 0.000
Cu 0.500 0.500 0.500
```